## w
Here is a relaxed structure of LaNdSmAl from Alexandria via LeMat-Bulk. Energies are from PBE.

Unit cell a=7.8244 b=7.8244 c=7.8244 alpha=90.00 beta=90.00 gamma=90.00
With the nearest neighbours (Å) after each atom.
Space group F-43m (No. 216)
Asymmetric unit:
La 0.0000 0.0000 0.0000 (multiplicity 4)  4 Al 3.39, 4 Sm 3.39
Nd 0.0000 0.0000 0.5000 (multiplicity 4)  4 Al 3.39, 4 Sm 3.39
Sm 0.2500 0.2500 0.2500 (multiplicity 4)  4 La 3.39, 4 Nd 3.39
Al 0.2500 0.2500 0.7500 (multiplicity 4)  4 La 3.39, 4 Nd 3.39

Summary:
Crystal system: cubic
Density of states at the Fermi level, states/eV/atom: 1.8093

## x
Here is a relaxed structure of LaNdSmAl from Alexandria via LeMat-Bulk. Energies are from PBE.

Unit cell a=5.6797 b=3.4603 c=12.4574 alpha=90.00 beta=90.00 gamma=90.00
With the nearest neighbours (Å) after each atom.
Space group Amm2 (No. 38)
Asymmetric unit:
La 0.0000 0.0000 0.0000 (multiplicity 2)  3 Nd 3.27-3.45, 2 La 3.46, 4 Al 3.47, 2 Sm 3.48
Nd 0.0000 0.0000 0.2772 (multiplicity 2)  2 Sm 3.19, 3 La 3.27-3.45, 2 Al 3.36, 2 Nd 3.46
Sm 0.5000 0.0000 0.1614 (multiplicity 2)  2 Nd 3.19, 3 Al 3.23-3.46, 2 Sm 3.46, 2 La 3.48
Al 0.5000 0.0000 0.4208 (multiplicity 2)  3 Sm 3.23-3.46, 2 Nd 3.36, 2 Al 3.46, 4 La 3.47

Summary:
Crystal system: orthorhombic
Density of states at the Fermi level, states/eV/atom: 1.4559

Going by the energies, w is most stable and the next is 0.191 eV/atom up.

## w
Here is a relaxed structure of LaNdAlSn from Alexandria via LeMat-Bulk. Energies are from PBE.

Unit cell a=4.3299 b=4.6827 c=11.8136 alpha=90.00 beta=90.00 gamma=90.00
With the nearest neighbours (Å) after each atom.
Space group Amm2 (No. 38)
Asymmetric unit:
La 0.0000 0.0000 0.0000 (multiplicity 2)  4 Al 3.28, 3 Sn 3.36-3.46
Nd 0.5000 0.0000 0.2815 (multiplicity 2)  4 Sn 3.28, 3 Al 3.34-3.47
Al 0.5000 0.0000 0.5644 (multiplicity 2)  2 Sn 2.81
Sn 0.0000 0.0000 0.7158 (multiplicity 2)  2 Al 2.81

Summary:
Crystal system: orthorhombic
Density of states at the Fermi level, states/eV/atom: 0.9167

## x
Here is a relaxed structure of LaNdAlSn from Alexandria via LeMat-Bulk. Energies are from PBE.

Unit cell a=7.7098 b=7.7098 c=7.7098 alpha=90.00 beta=90.00 gamma=90.00
With the nearest neighbours (Å) after each atom.
Space group F-43m (No. 216)
Asymmetric unit:
La 0.0000 0.0000 0.0000 (multiplicity 4)  4 Sn 3.34, 4 Al 3.34
Nd 0.0000 0.0000 0.5000 (multiplicity 4)  4 Al 3.34, 4 Sn 3.34
Al 0.2500 0.2500 0.7500 (multiplicity 4)  4 La 3.34, 4 Nd 3.34
Sn 0.2500 0.2500 0.2500 (multiplicity 4)  4 Nd 3.34, 4 La 3.34

Summary:
Crystal system: cubic
Density of states at the Fermi level, states/eV/atom: 0.6986

Going by the energies, w is most stable and the next is 0.138 eV/atom up.

## w
Here is a relaxed structure of LaAlNi3 from Alexandria via LeMat-Bulk. Energies are from PBE.

Unit cell a=4.7170 b=4.7170 c=4.7170 alpha=90.00 beta=90.00 gamma=90.00
With the nearest neighbours (Å) after each atom.
Space group Pm-3m (No. 221)
Asymmetric unit:
La 0.0000 0.0000 0.0000 (multiplicity 1)  6 Ni 2.36
Al 0.5000 0.5000 0.5000 (multiplicity 1)  12 Ni 3.34
Ni 0.0000 0.0000 0.5000 (multiplicity 3)  2 La 2.36

Summary:
Crystal system: cubic
Density of states at the Fermi level, states/eV/atom: 0.7361

## x
Here is a relaxed structure of LaAlNi3 from Alexandria via LeMat-Bulk. Energies are from PBE.

Unit cell a=5.4883 b=7.2334 c=4.5166 alpha=90.00 beta=90.00 gamma=90.00
With the nearest neighbours (Å) after each atom.
Space group Cmmm (No. 65)
Asymmetric unit:
La 0.0000 0.0000 0.0000 (multiplicity 2)  2 Ni 2.74
Al 0.0000 0.5000 0.5000 (multiplicity 2)  6 Ni 2.26-2.27
Ni 0.0000 0.5000 0.0000 (multiplicity 2)  2 Al 2.26
Ni 0.2500 0.2500 0.5000 (multiplicity 4)  2 Al 2.27

Summary:
Crystal system: orthorhombic
Density of states at the Fermi level, states/eV/atom: 0.7520

Going by the energies, x is most stable and the next is 1.237 eV/atom up.

## w
Here is a relaxed structure of La2Al7Ni from Alexandria via LeMat-Bulk. Energies are from PBE.

Unit cell a=4.3046 b=4.3046 c=10.9751 alpha=90.00 beta=90.00 gamma=90.00
With the nearest neighbours (Å) after each atom.
Space group P-4m2 (No. 115)
Asymmetric unit:
La 0.0000 0.5000 0.2450 (multiplicity 2)  14 Al 3.28-3.53, 2 Ni 3.44
Al 0.0000 0.0000 0.0000 (multiplicity 1)  4 Al 2.53
Al 0.0000 0.0000 0.5000 (multiplicity 1)  4 Al 2.67
Al 0.0000 0.5000 0.6434 (multiplicity 2)  5 Al 2.59-2.67
Al 0.0000 0.5000 0.8794 (multiplicity 2)  2 Ni 2.53, 3 Al 2.53-2.59
Al 0.5000 0.5000 0.5000 (multiplicity 1)  4 Al 2.67
Ni 0.5000 0.5000 0.0000 (multiplicity 1)  4 Al 2.53

Summary:
Crystal system: tetragonal
Density of states at the Fermi level, states/eV/atom: 0.3638

## x
Here is a relaxed structure of La2Al7Ni from Alexandria via LeMat-Bulk. Energies are from PBE.

Unit cell a=6.1421 b=6.1421 c=21.4934 alpha=90.00 beta=90.00 gamma=90.00
With the nearest neighbours (Å) after each atom.
Space group I4_1md (No. 109)
Asymmetric unit:
La 0.0000 0.0000 0.0000 (multiplicity 4)  14 Al 3.20-3.52, 2 Ni 3.40
La 0.0000 0.0000 0.4973 (multiplicity 4)  14 Al 3.22-3.46, 2 Ni 3.37
Al 0.0000 0.0000 0.1854 (multiplicity 4)  5 Al 2.57-2.65
Al 0.0000 0.0000 0.3050 (multiplicity 4)  5 Al 2.57-2.68
Al 0.0000 0.0000 0.7925 (multiplicity 4)  1 Ni 2.36
Al 0.2288 0.2576 0.8742 (multiplicity 16)  1 Ni 2.40, 2 Al 2.65-2.68
Ni 0.0000 0.0000 0.6824 (multiplicity 4)  5 Al 2.36-2.40

Summary:
Crystal system: tetragonal
Density of states at the Fermi level, states/eV/atom: 0.2219

Going by the energies, x is most stable and the next is 0.078 eV/atom up.

## w
Here is a relaxed structure of La3AlNi from Alexandria via LeMat-Bulk. Energies are from PBE.

Unit cell a=10.7501 b=10.7501 c=4.6183 alpha=90.00 beta=90.00 gamma=90.00
With the nearest neighbours (Å) after each atom.
Space group P4_2/mnm (No. 136)
Asymmetric unit:
La 0.0211 0.3244 0.0000 (multiplicity 8)  1 Ni 2.68
La 0.1137 0.8863 0.5000 (multiplicity 4)  4 Ni 3.15, 2 Al 3.37, 1 La 3.46
Al 0.1904 0.1904 0.5000 (multiplicity 4)  2 Ni 2.82
Ni 0.0833 0.0833 0.0000 (multiplicity 4)  1 Ni 2.53, 2 La 2.68, 2 Al 2.82

Summary:
Crystal system: tetragonal
Density of states at the Fermi level, states/eV/atom: 1.2059

## x
Here is a relaxed structure of La3AlNi from Alexandria via LeMat-Bulk. Energies are from PBE.

Unit cell a=5.3827 b=5.3827 c=5.3827 alpha=90.00 beta=90.00 gamma=90.00
With the nearest neighbours (Å) after each atom.
Space group Pm-3m (No. 221)
Asymmetric unit:
La 0.0000 0.0000 0.5000 (multiplicity 3)  2 Ni 2.69
Al 0.5000 0.5000 0.5000 (multiplicity 1)  12 La 3.81
Ni 0.0000 0.0000 0.0000 (multiplicity 1)  6 La 2.69

Summary:
Crystal system: cubic
Density of states at the Fermi level, states/eV/atom: 1.4781

Going by the energies, w is most stable and the next is 0.166 eV/atom up.

## w
Here is a relaxed structure of LaAl2O4 from Alexandria via LeMat-Bulk. Energies are from PBE.

Unit cell a=8.6325 b=7.0215 c=7.2508 alpha=90.00 beta=115.62 gamma=90.00
With the nearest neighbours (Å) after each atom.
Space group C2 (No. 5)
Asymmetric unit:
La 0.0000 0.0000 0.0000 (multiplicity 2)  6 O 2.48-2.54
La 0.0000 0.1941 0.5000 (multiplicity 2)  4 O 2.34-2.47
Al 0.0192 0.5449 0.1884 (multiplicity 4)  3 O 1.80-1.83
Al 0.1931 0.7474 0.6560 (multiplicity 4)  4 O 1.78-1.80
O 0.0796 0.2930 0.2256 (multiplicity 4)  2 Al 1.80-1.83
O 0.0954 0.9380 0.7280 (multiplicity 4)  1 Al 1.78
O 0.1717 0.6676 0.4111 (multiplicity 4)  2 Al 1.79-1.80
O 0.1783 0.5338 0.7821 (multiplicity 4)  2 Al 1.79-1.81

Summary:
Crystal system: monoclinic
Density of states at the Fermi level, states/eV/atom: 0.0000

## x
Here is a relaxed structure of LaAl2O4 from Alexandria via LeMat-Bulk. Energies are from PBE.

Unit cell a=5.0682 b=8.9914 c=8.4102 alpha=90.00 beta=90.00 gamma=90.00
With the nearest neighbours (Å) after each atom.
Space group Cccm (No. 66)
Asymmetric unit:
La 0.0000 0.0000 0.2500 (multiplicity 4)  8 O 2.53-2.71
Al 0.0031 0.2929 0.0000 (multiplicity 8)  4 O 1.80-1.87
O 0.1880 0.1152 0.5000 (multiplicity 8)  2 Al 1.80-1.87
O 0.2500 0.2500 0.1522 (multiplicity 8)  2 Al 1.83

Summary:
Crystal system: orthorhombic
Density of states at the Fermi level, states/eV/atom: 0.2245

Going by the energies, w is most stable and the next is 0.162 eV/atom up.

## w
Here is a relaxed structure of La2AlO from Alexandria via LeMat-Bulk. Energies are from PBE.

Unit cell a=7.2483 b=7.2483 c=8.1506 alpha=90.00 beta=90.00 gamma=90.00
With the nearest neighbours (Å) after each atom.
Space group I-42d (No. 122)
Asymmetric unit:
La 0.1577 0.2500 0.1250 (multiplicity 8)  2 O 2.37
Al 0.0000 0.0000 0.5000 (multiplicity 4)  4 La 3.24
O 0.0000 0.0000 0.0000 (multiplicity 4)  4 La 2.37

Summary:
Crystal system: tetragonal
Density of states at the Fermi level, states/eV/atom: 1.0860

## x
Here is a relaxed structure of La2AlO from Alexandria via LeMat-Bulk. Energies are from PBE.

Unit cell a=3.8065 b=3.8065 c=22.9738 alpha=90.00 beta=90.00 gamma=120.00
With the nearest neighbours (Å) after each atom.
Space group R-3m (No. 166, hexagonal axes)
Asymmetric unit:
La 0.0000 0.0000 0.2292 (multiplicity 6)  3 O 2.63
Al 0.0000 0.0000 0.0000 (multiplicity 3)  6 La 3.25
O 0.0000 0.0000 0.5000 (multiplicity 3)  6 La 2.63

Summary:
Crystal system: trigonal
Density of states at the Fermi level, states/eV/atom: 1.0369

Going by the energies, x is most stable and the next is 0.038 eV/atom up.

## w
Here is a relaxed structure of La4Al2O9 from Alexandria via LeMat-Bulk. Energies are from PBE.

Unit cell a=7.9635 b=11.1213 c=11.5264 alpha=90.00 beta=109.70 gamma=90.00
With the nearest neighbours (Å) after each atom.
Space group P2_1/c (No. 14)
Asymmetric unit:
La 0.0240 0.0956 0.2904 (multiplicity 4)  6 O 2.36-2.64
La 0.1673 0.6253 0.5734 (multiplicity 4)  5 O 2.40-2.59
La 0.3375 0.1265 0.9175 (multiplicity 4)  6 O 2.42-2.55
La 0.4731 0.5828 0.1899 (multiplicity 4)  6 O 2.37-2.52
Al 0.1506 0.1916 0.6220 (multiplicity 4)  4 O 1.77-1.78
Al 0.2728 0.6937 0.8693 (multiplicity 4)  4 O 1.76-1.79
O 0.0640 0.7396 0.8796 (multiplicity 4)  2 Al 1.78
O 0.0706 0.0088 0.8985 (multiplicity 4)  4 La 2.36-2.44
O 0.1391 0.2263 0.4698 (multiplicity 4)  1 Al 1.77
O 0.2026 0.0419 0.6752 (multiplicity 4)  1 Al 1.77
O 0.2695 0.7195 0.2382 (multiplicity 4)  1 Al 1.79
O 0.2786 0.5416 0.8268 (multiplicity 4)  1 Al 1.77
O 0.2822 0.2173 0.2464 (multiplicity 4)  1 Al 1.78
O 0.4167 0.7325 0.0175 (multiplicity 4)  1 Al 1.76
O 0.4249 0.0000 0.1056 (multiplicity 4)  4 La 2.40-2.48

Summary:
Crystal system: monoclinic
Density of states at the Fermi level, states/eV/atom: 0.0000

## x
Here is a relaxed structure of La4Al2O9 from Alexandria via LeMat-Bulk. Energies are from PBE.

Unit cell a=5.5821 b=6.4135 c=7.5220 alpha=89.92 beta=85.68 gamma=89.46
With the nearest neighbours (Å) after each atom.
Space group P1 (No. 1)
Asymmetric unit:
La 0.0000 0.0000 0.0000 (multiplicity 1)  5 O 2.31-2.56
La 0.0094 0.8275 0.5168 (multiplicity 1)  5 O 2.28-2.54
La 0.5522 0.5106 0.8542 (multiplicity 1)  6 O 2.36-2.63
La 0.5888 0.2656 0.3444 (multiplicity 1)  3 O 2.24-2.50
Al 0.0759 0.3455 0.5598 (multiplicity 1)  4 O 1.75-1.81
Al 0.0848 0.4685 0.1333 (multiplicity 1)  4 O 1.76-1.78
O 0.2183 0.7016 0.0554 (multiplicity 1)  1 Al 1.76
O 0.2505 0.1165 0.5173 (multiplicity 1)  1 Al 1.77
O 0.2742 0.5378 0.6284 (multiplicity 1)  1 Al 1.77
O 0.3057 0.2703 0.0840 (multiplicity 1)  1 Al 1.78
O 0.7859 0.2825 0.6485 (multiplicity 1)  1 Al 1.75
O 0.8023 0.9741 0.2803 (multiplicity 1)  3 La 2.24-2.38
O 0.8035 0.7993 0.7894 (multiplicity 1)  3 La 2.28-2.38
O 0.8179 0.3622 0.0578 (multiplicity 1)  1 Al 1.78
O 0.9870 0.4817 0.3635 (multiplicity 1)  2 Al 1.78-1.81

Summary:
Crystal system: triclinic
Density of states at the Fermi level, states/eV/atom: 0.0000

Going by the energies, w is most stable and the next is 0.175 eV/atom up.